# 1
This record from Alexandria via LeMat-Bulk describes a relaxed CeMnSi2 crystal. The functional is PBE.

Summary:
The calculation puts the formation energy (no corrections) at -595 meV per atom. The calculation puts the volume at 69.8 Å³/f.u. As for the symmetry: No. 62.

```
data_CeMnSi2
_symmetry_space_group_name_H-M 'P 1'
_symmetry_Int_Tables_number 1
_cell_length_a 3.890
_cell_length_b 7.144
_cell_length_c 10.041
_cell_angle_alpha 90.00
_cell_angle_beta 90.00
_cell_angle_gamma 90.00
loop_
_symmetry_equiv_pos_as_xyz
'x,y,z'
loop_
_atom_site_label
_atom_site_fract_x
_atom_site_fract_y
_atom_site_fract_z
Ce1 0.250 0.355 0.630
Ce2 0.750 0.645 0.370
Ce3 0.250 0.855 0.870
Ce4 0.750 0.145 0.130
Si1 0.750 0.663 0.687
Si2 0.250 0.837 0.187
Si3 0.750 0.163 0.813
Si4 0.750 0.209 0.430
Si5 0.750 0.709 0.070
Si6 0.250 0.291 0.930
Si7 0.250 0.337 0.313
Si8 0.250 0.791 0.570
Mn1 0.750 0.991 0.606
Mn2 0.250 0.509 0.106
Mn3 0.750 0.491 0.894
Mn4 0.250 0.009 0.394
```

***

# 2
This record from Alexandria via LeMat-Bulk describes a relaxed CeMnSi2 crystal. The functional is PBE.

Summary:
The calculation puts the formation energy (no corrections) at -76 meV per atom. The calculation puts the volume at 65.8 Å³/f.u. As for the symmetry: No. 166.

```
data_CeMnSi2
_symmetry_space_group_name_H-M 'P 1'
_symmetry_Int_Tables_number 1
_cell_length_a 2.986
_cell_length_b 2.986
_cell_length_c 8.703
_cell_angle_alpha 80.12
_cell_angle_beta 80.12
_cell_angle_gamma 60.00
loop_
_symmetry_equiv_pos_as_xyz
'x,y,z'
loop_
_atom_site_label
_atom_site_fract_x
_atom_site_fract_y
_atom_site_fract_z
Mn1 0.000 0.000 0.000
Si1 0.267 0.267 0.198
Si2 0.733 0.733 0.802
Ce1 0.500 0.500 0.500
```